(1)
# ErScMn4 PBE-GGA relaxed
data_ErScMn4
_chemical_formula_sum 'Er1 Sc1 Mn4'
_cell_length_a 4.993
_cell_length_b 4.993
_cell_length_c 4.993
_cell_angle_alpha 60.00
_cell_angle_beta 60.00
_cell_angle_gamma 60.00
_symmetry_space_group_name_H-M 'P 1'
_symmetry_Int_Tables_number 1
loop_
_symmetry_equiv_pos_as_xyz
'x,y,z'
loop_
_atom_site_label
_atom_site_type_symbol
_atom_site_fract_x
_atom_site_fract_y
_atom_site_fract_z
_atom_site_occupancy
Sc1 Sc 0.000 0.000 0.000 1
Mn1 Mn 0.625 0.625 0.124 1
Mn2 Mn 0.625 0.124 0.625 1
Mn3 Mn 0.625 0.625 0.625 1
Mn4 Mn 0.124 0.625 0.625 1
Er1 Er 0.250 0.250 0.250 1
# electronic total energy = -7.9346 eV per atom
# space group = F-43m (216)

(2)
# K3InHg4 PBE-GGA relaxed
data_K3InHg4
_chemical_formula_sum 'K3 In1 Hg4'
_cell_length_a 5.747
_cell_length_b 5.749
_cell_length_c 8.997
_cell_angle_alpha 108.66
_cell_angle_beta 108.63
_cell_angle_gamma 90.00
_symmetry_space_group_name_H-M 'P 1'
_symmetry_Int_Tables_number 1
loop_
_symmetry_equiv_pos_as_xyz
'x,y,z'
loop_
_atom_site_label
_atom_site_type_symbol
_atom_site_fract_x
_atom_site_fract_y
_atom_site_fract_z
_atom_site_occupancy
K1 K 0.000 0.500 0.000 1
K2 K 0.741 0.242 0.482 1
K3 K 0.259 0.758 0.518 1
Hg1 Hg 0.388 0.387 0.777 1
Hg2 Hg 0.612 0.613 0.223 1
Hg3 Hg 0.112 0.110 0.223 1
Hg4 Hg 0.888 0.890 0.777 1
In1 In 0.500 0.000 0.000 1
# energy above the most stable polymorph in this dataset = 0.00 eV per formula unit
# space group = C2/m (12)

(3)
# CuAgP2Se PBE-GGA relaxed
data_CuAgP2Se
_chemical_formula_sum 'Cu1 Ag1 P2 Se1'
_cell_length_a 4.751
_cell_length_b 4.796
_cell_length_c 4.751
_cell_angle_alpha 90.00
_cell_angle_beta 90.00
_cell_angle_gamma 90.00
_symmetry_space_group_name_H-M 'P 1'
_symmetry_Int_Tables_number 1
loop_
_symmetry_equiv_pos_as_xyz
'x,y,z'
loop_
_atom_site_label
_atom_site_type_symbol
_atom_site_fract_x
_atom_site_fract_y
_atom_site_fract_z
_atom_site_occupancy
P1 P 0.000 0.000 0.500 1
P2 P 0.500 0.000 0.000 1
Cu1 Cu 0.000 0.500 0.000 1
Se1 Se 0.500 0.500 0.500 1
Ag1 Ag 0.000 0.000 0.000 1
# energy relative to the elements, uncorrected = 1.12 eV/atom
# space group = P4/mmm (123)

(4)
# Ac2CuSbPt6 PBE-GGA relaxed
data_Ac2CuSbPt6
_chemical_formula_sum 'Ac2 Cu1 Sb1 Pt6'
_cell_length_a 6.905
_cell_length_b 6.897
_cell_length_c 8.766
_cell_angle_alpha 50.61
_cell_angle_beta 50.52
_cell_angle_gamma 82.31
_symmetry_space_group_name_H-M 'P 1'
_symmetry_Int_Tables_number 1
loop_
_symmetry_equiv_pos_as_xyz
'x,y,z'
loop_
_atom_site_label
_atom_site_type_symbol
_atom_site_fract_x
_atom_site_fract_y
_atom_site_fract_z
_atom_site_occupancy
Ac1 Ac 0.735 0.265 0.537 1
Ac2 Ac 0.265 0.735 0.463 1
Cu1 Cu 0.000 0.000 0.000 1
Sb1 Sb 0.500 0.500 0.000 1
Pt1 Pt 0.245 0.237 0.509 1
Pt2 Pt 0.763 0.754 0.992 1
Pt3 Pt 0.244 0.756 0.853 1
Pt4 Pt 0.756 0.244 0.147 1
Pt5 Pt 0.237 0.246 0.008 1
Pt6 Pt 0.755 0.763 0.491 1
# energy relative to the elements, uncorrected = -0.75 eV/atom
# space group = C2/m (12)

(5)
# BaLiMn2B PBE-GGA relaxed
data_BaLiMn2B
_chemical_formula_sum 'Ba1 Li1 Mn2 B1'
_cell_length_a 4.184
_cell_length_b 5.705
_cell_length_c 4.184
_cell_angle_alpha 90.00
_cell_angle_beta 90.00
_cell_angle_gamma 90.00
_symmetry_space_group_name_H-M 'P 1'
_symmetry_Int_Tables_number 1
loop_
_symmetry_equiv_pos_as_xyz
'x,y,z'
loop_
_atom_site_label
_atom_site_type_symbol
_atom_site_fract_x
_atom_site_fract_y
_atom_site_fract_z
_atom_site_occupancy
B1 B 0.000 0.000 0.000 1
Mn1 Mn 0.000 0.000 0.500 1
Mn2 Mn 0.500 0.000 0.000 1
Ba1 Ba 0.000 0.500 0.000 1
Li1 Li 0.500 0.500 0.500 1
# electronic total energy = -5.1846 eV per atom
# space group = P4/mmm (123)

(6)
# MnHgPd2Cl PBE-GGA relaxed
data_MnHgPd2Cl
_chemical_formula_sum 'Mn1 Hg1 Pd2 Cl1'
_cell_length_a 5.131
_cell_length_b 5.052
_cell_length_c 5.131
_cell_angle_alpha 90.00
_cell_angle_beta 90.00
_cell_angle_gamma 90.00
_symmetry_space_group_name_H-M 'P 1'
_symmetry_Int_Tables_number 1
loop_
_symmetry_equiv_pos_as_xyz
'x,y,z'
loop_
_atom_site_label
_atom_site_type_symbol
_atom_site_fract_x
_atom_site_fract_y
_atom_site_fract_z
_atom_site_occupancy
Mn1 Mn 0.500 0.500 0.500 1
Hg1 Hg 0.000 0.000 0.000 1
Pd1 Pd 0.000 0.000 0.500 1
Pd2 Pd 0.500 0.000 0.000 1
Cl1 Cl 0.000 0.500 0.000 1
# energy relative to the elements, uncorrected = 0.90 eV/atom
# space group = P4/mmm (123)

> Which formula does entry 3 have?

CuAgP2Se